ZrNi2O (GGA+U, relaxed); raw total energy = -4.372 eV/atom
1.0
4.7228 0.0000 0.0000
0.0000 4.7228 0.0000
0.0000 0.0000 10.8079
Zr Ni O
4 8 4
Direct
0.0000 0.2500 0.3750
0.0000 0.7500 0.6250
0.5000 0.2500 0.1250
0.5000 0.7500 0.8750
0.0000 0.0000 0.0000
0.0000 0.5000 0.0000
0.2500 0.2500 0.7500
0.2500 0.7500 0.2500
0.5000 0.0000 0.5000
0.5000 0.5000 0.5000
0.7500 0.2500 0.7500
0.7500 0.7500 0.2500
0.0000 0.2500 0.8750
0.0000 0.7500 0.1250
0.5000 0.2500 0.6250
0.5000 0.7500 0.3750